Compound: Mn2SiPdBr
Source: Alexandria via LeMat-Bulk
Functional: PBE
Structure: optimized geometry

```
5
Lattice="4.659 0.000 0.000 0.000 4.766 0.000 0.000 0.000 4.659" Properties=species:S:1:pos:R:3 pbc="T T T"
Br 0.000 0.000 0.000
Pd 0.000 2.383 0.000
Si 2.329 2.383 2.329
Mn 2.329 0.000 0.000
Mn 0.000 0.000 2.329
```

SG	No. 123
E_form (uncorrected)	1017	meV per atom
Fermi-level density of states	3.69	states/eV/cell
size of the total moment	7.31	μB per formula unit